# Cd3Ir SCAN single point on PBEsol structure
data_Cd3Ir
_cell_length_a 4.0539
_cell_length_b 4.0539
_cell_length_c 8.5805
_cell_angle_alpha 90.00
_cell_angle_beta 90.00
_cell_angle_gamma 90.00
_space_group_name_H-M_alt 'I 4/m m m'
_space_group_IT_number 139
_space_group_name_Hall '-I 4 2'
loop_
_atom_site_label
_atom_site_fract_x
_atom_site_fract_y
_atom_site_fract_z
Cd1 0.0000 0.0000 0.0000
Cd2 0.0000 0.5000 0.2500
Ir1 0.0000 0.0000 0.5000
# energy of formation from the pure elements	0.085	eV/atom
# DOS at the Fermi energy	1.54	states/eV/f.u.